Entry from Alexandria: a geometry-optimized Sc2NbBiO structure (PBEsol).

a = 5.354 Å, b = 5.354 Å, c = 3.907 Å
α = 90.00°, β = 90.00°, γ = 90.00°
Space group P4/mmm (No. 123)
Asymmetric unit:
Sc 0.000 0.500 0.000 [2 per cell]
Nb 0.000 0.000 0.000 [1 per cell]
Bi 0.500 0.500 0.500 [1 per cell]
O 0.000 0.000 0.500 [1 per cell]

Values from the calculation:
As for the uncorrected energy: -7.085 eV/atom. As for the density: 6.0 g/cm³. The crystal system is tetragonal.